An optimized crystal structure of Mo2RhW. Source: Alexandria, functional PBE.

Cell and atoms, written as POSCAR:
```
Mo2RhW
1.0
-1.673 2.169 4.314
1.673 -2.169 4.314
1.673 2.169 -4.314
Mo Rh W
2 1 1
Direct
0.238 0.238 0.000
0.762 0.762 0.000
0.500 0.000 0.500
0.000 0.500 0.500
```

Calculated values
ΔH_f (0 K)	0.10	eV per atom
energy above the most stable polymorph in this dataset	90	meV per atom
total magnetization	0.0	μB per formula unit

An optimized crystal structure of Pm2Tl3Cu. Source: Alexandria, functional PBE.

Cell and atoms, written as POSCAR:
```
Pm2Tl3Cu
1.0
3.751 0.000 0.000
0.000 4.891 0.000
0.000 0.000 8.576
Pm Tl Cu
2 3 1
Direct
0.000 0.000 0.000
0.000 0.500 0.477
0.500 0.000 0.624
0.500 0.500 0.173
0.500 0.500 0.824
0.500 0.000 0.308
```

Calculated values
ΔH_f (0 K)	-0.23	eV per atom
total magnetization	0.0	μB per formula unit

An optimized crystal structure of Hf2SiPd2. Source: Alexandria, functional PBE.

Cell and atoms, written as POSCAR:
```
Hf2SiPd2
1.0
7.137 0.000 0.000
0.000 7.137 0.000
0.000 0.000 3.529
Hf Si Pd
4 2 4
Direct
0.172 0.328 0.000
0.328 0.828 0.000
0.672 0.172 0.000
0.828 0.672 0.000
0.000 0.000 0.500
0.500 0.500 0.500
0.133 0.633 0.500
0.367 0.133 0.500
0.633 0.867 0.500
0.867 0.367 0.500
```

Calculated values
total energy	-7.702	eV per atom
total magnetization	0.0	μB per formula unit

An optimized crystal structure of AlSeCl2. Source: Alexandria, functional PBE.

Cell and atoms, written as POSCAR:
```
AlSeCl2
1.0
1.746 -4.835 0.000
1.746 4.835 0.000
0.000 0.000 8.470
Al Se Cl
1 1 2
Direct
0.000 0.000 0.000
0.500 0.500 0.806
0.000 0.000 0.557
0.500 0.500 0.195
```

Calculated values
energy above the most stable polymorph in this dataset	565	meV per atom
total magnetization	0.7	μB per formula unit

An optimized crystal structure of Mg2AgSb. Source: Alexandria, functional PBE.

Cell and atoms, written as POSCAR:
```
Mg2AgSb
1.0
0.000 3.557 3.557
3.557 0.000 3.557
3.557 3.557 0.000
Mg Ag Sb
2 1 1
Direct
0.000 0.000 0.000
0.250 0.250 0.250
0.750 0.750 0.750
0.500 0.500 0.500
```

Calculated values
energy above the most stable polymorph in this dataset	172	meV per atom
total magnetization	0.0	μB per formula unit

An optimized crystal structure of SmNp6Se8. Source: Alexandria, functional PBE.

Cell and atoms, written as POSCAR:
```
SmNp6Se8
1.0
0.000 5.793 5.793
5.793 0.000 5.793
5.793 5.793 0.000
Sm Np Se
1 6 8
Direct
0.000 0.000 0.000
0.000 0.000 0.500
0.000 0.500 0.000
0.000 0.500 0.500
0.500 0.000 0.000
0.500 0.000 0.500
0.500 0.500 0.000
0.250 0.250 0.250
0.255 0.255 0.745
0.255 0.745 0.255
0.255 0.745 0.745
0.745 0.255 0.255
0.745 0.255 0.745
0.745 0.745 0.255
0.750 0.750 0.750
```

Calculated values
total energy	-8.567	eV per atom
total magnetization	26.1	μB per formula unit

An optimized crystal structure of Na3FeSn3S8. Source: Alexandria, functional PBE.

Cell and atoms, written as POSCAR:
```
Na3FeSn3S8
1.0
6.498 -3.753 0.000
6.498 3.753 0.000
-4.337 0.000 6.847
Na Fe Sn S
3 1 3 8
Direct
0.000 0.000 0.000
0.000 0.500 0.000
0.500 0.000 0.000
0.000 0.000 0.500
0.000 0.500 0.500
0.500 0.000 0.500
0.500 0.500 0.500
0.211 0.771 0.693
0.212 0.212 0.693
0.229 0.789 0.307
0.256 0.256 0.267
0.744 0.744 0.733
0.771 0.211 0.693
0.788 0.788 0.307
0.789 0.229 0.307
```

Calculated values
total energy	-4.483	eV per atom
total magnetization	0.0	μB per formula unit

An optimized crystal structure of Nb6MoPt. Source: Alexandria, functional PBE.

Cell and atoms, written as POSCAR:
```
Nb6MoPt
1.0
5.216 0.000 0.000
0.000 5.216 0.000
0.000 0.000 5.216
Nb Mo Pt
6 1 1
Direct
0.000 0.248 0.500
0.000 0.752 0.500
0.248 0.500 0.000
0.500 0.000 0.248
0.500 0.000 0.752
0.752 0.500 0.000
0.000 0.000 0.000
0.500 0.500 0.500
```

Calculated values
ΔH_f (0 K)	-0.22	eV per atom
energy above the most stable polymorph in this dataset	0	meV per atom
total magnetization	0.0	μB per formula unit

An optimized crystal structure of BeCoCu2. Source: Alexandria, functional PBE.

Cell and atoms, written as POSCAR:
```
BeCoCu2
1.0
2.556 0.000 0.000
0.000 2.556 0.000
0.000 0.000 6.493
Be Co Cu
1 1 2
Direct
0.000 0.000 0.000
0.000 0.000 0.500
0.500 0.500 0.223
0.500 0.500 0.777
```

Calculated values
ΔH_f (0 K)	0.04	eV per atom
total magnetization	1.5	μB per formula unit

An optimized crystal structure of In4PAu. Source: Alexandria, functional PBE.

Cell and atoms, written as POSCAR:
```
In4PAu
1.0
0.000 4.250 4.250
4.250 0.000 4.250
4.250 4.250 0.000
In P Au
4 1 1
Direct
0.125 0.125 0.125
0.125 0.125 0.625
0.125 0.625 0.125
0.625 0.125 0.125
0.750 0.750 0.750
0.500 0.500 0.500
```

Calculated values
ΔH_f (0 K)	0.49	eV per atom
total magnetization	0.0	μB per formula unit

An optimized crystal structure of CeLuCuTc. Source: Alexandria, functional PBE.

Cell and atoms, written as POSCAR:
```
CeLuCuTc
1.0
0.000 3.428 3.428
3.428 0.000 3.428
3.428 3.428 0.000
Ce Lu Cu Tc
1 1 1 1
Direct
0.000 0.000 0.000
0.500 0.500 0.500
0.250 0.250 0.250
0.750 0.750 0.750
```

Calculated values
ΔH_f (0 K)	-0.13	eV per atom
total magnetization	0.0	μB per formula unit

An optimized crystal structure of Sc3BeH. Source: Alexandria, functional PBE.

Cell and atoms, written as POSCAR:
```
Sc3BeH
1.0
4.339 0.000 0.000
0.000 4.339 0.000
0.000 0.000 4.339
Sc Be H
3 1 1
Direct
0.000 0.000 0.500
0.000 0.500 0.000
0.500 0.000 0.000
0.500 0.500 0.500
0.000 0.000 0.000
```

Calculated values
energy above the most stable polymorph in this dataset	0	meV per atom
total magnetization	1.8	μB per formula unit

- Which formula does entry 2 have?
  Pm2Tl3Cu

- Look up the total magnetization of the ninth one.
  1.5 μB per formula unit

- Which of these has the highest total magnetization?
  SmNp6Se8